First-principles (PBE) data for CsNdSn after structural relaxation, as listed in the Open Quantum Materials Database.

Unit cell a=7.769 b=7.769 c=7.769 alpha=90.00 beta=90.00 gamma=90.00
Space group F-43m (No. 216)
One atom of each set of equivalent atoms:
1 Cs 0.000 0.000 0.000 (multiplicity 4)
2 Nd 0.250 0.250 0.250 (multiplicity 4)
3 Sn 0.250 0.250 0.750 (multiplicity 4)

Properties
- V: 39.08 A^3/atom
- Energy: -31.3 eV/cell
- Spin magnetization: 0.00 μB per formula unit

First-principles (PBE) data for ErTmIn2Ni4 after structural relaxation, as listed in the Open Quantum Materials Database.

Unit cell a=4.3919 b=4.3919 c=8.3493 alpha=90.00 beta=90.00 gamma=120.00
Space group P-6m2 (No. 187)
One atom of each set of equivalent atoms:
1 Er 0.0000 0.0000 0.0000 (multiplicity 1)
2 Tm 0.6667 0.3333 0.5000 (multiplicity 1)
3 In 0.3333 0.6667 0.2509 (multiplicity 2)
4 Ni 0.0000 0.0000 0.3399 (multiplicity 2)
5 Ni 0.6667 0.3333 0.1622 (multiplicity 2)

Properties
- V: 17.43 A^3/atom
- Energy: -40.2 eV/cell
- Distance to the lowest polymorph of the same formula: 46 meV per atom
- Spin magnetization: 0.00 μB per formula unit

First-principles (PBE) data for Rb2Cd3H6S3O16 after structural relaxation, as listed in the Open Quantum Materials Database.

Unit cell a=18.252 b=7.944 c=10.054 alpha=90.00 beta=90.00 gamma=90.00
Space group Cmc2_1 (No. 36)
One atom of each set of equivalent atoms:
1 Rb 0.187 0.044 0.000 (multiplicity 8)
2 Cd 0.000 0.180 0.266 (multiplicity 4)
3 Cd 0.096 0.456 0.565 (multiplicity 8)
4 H 0.000 0.426 0.395 (multiplicity 4)
5 H 0.000 0.448 0.763 (multiplicity 4)
6 H 0.091 0.173 0.721 (multiplicity 8)
7 H 0.174 0.243 0.730 (multiplicity 8)
8 S 0.000 0.195 0.934 (multiplicity 4)
9 S 0.183 0.293 0.276 (multiplicity 8)
10 O 0.000 0.070 0.044 (multiplicity 4)
11 O 0.000 0.105 0.801 (multiplicity 4)
12 O 0.000 0.330 0.456 (multiplicity 4)
13 O 0.000 0.463 0.195 (multiplicity 4)
14 O 0.067 0.300 0.936 (multiplicity 8)
15 O 0.126 0.157 0.270 (multiplicity 8)
16 O 0.132 0.215 0.668 (multiplicity 8)
17 O 0.164 0.420 0.378 (multiplicity 8)
18 O 0.190 0.376 0.143 (multiplicity 8)
19 O 0.246 0.288 0.810 (multiplicity 8)

Properties
- V: 12.15 A^3/atom
- Energy: -629.1 eV/cell

First-principles (PBE) data for YCuTcB after structural relaxation, as listed in the Open Quantum Materials Database.

Unit cell a=6.266 b=6.266 c=6.266 alpha=90.00 beta=90.00 gamma=90.00
Space group F-43m (No. 216)
One atom of each set of equivalent atoms:
1 Y 0.000 0.000 0.000 (multiplicity 4)
2 Cu 0.000 0.000 0.500 (multiplicity 4)
3 Tc 0.250 0.250 0.750 (multiplicity 4)
4 B 0.250 0.250 0.250 (multiplicity 4)

Properties
- V: 15.38 A^3/atom
- Energy: -94.3 eV/cell
- Distance to the lowest polymorph of the same formula: 176 meV per atom
- Spin magnetization: 0.02 μB per formula unit